No. 1
A plane-wave DFT calculation with GGA-PBE was carried out for CsPr2Te6Pb3 after structural relaxation.

Computed properties:
- E (eV/atom) = -4.178
- N(E_F) (states/eV per cell) = 9.76
- theoretical density (g/cm³) = 6.687

abc: 20.409 4.606 9.738
angles: 90.00 102.16 90.00
Space group C2/m (No. 12)
One atom of each set of equivalent atoms:
Cs 0.000 0.000 0.000 (multiplicity 2)
Pr 0.170 0.500 0.351 (multiplicity 4)
Te 0.013 0.500 0.283 (multiplicity 4)
Te 0.167 0.000 0.592 (multiplicity 4)
Te 0.184 0.000 0.114 (multiplicity 4)
Pb 0.000 0.000 0.500 (multiplicity 2)
Pb 0.159 0.500 0.846 (multiplicity 4)

No. 2
A plane-wave DFT calculation with GGA-PBE was carried out for CsPtPb3 after structural relaxation.

Computed properties:
- formation energy from the elements (eV per atom) = -0.251
- N(E_F) (states/eV per cell) = 2.73
- relative energy among the computed polymorphs (meV per atom) = 0
- theoretical density (g/cm³) = 8.667

abc: 9.073 4.520 9.478
angles: 90.00 110.59 90.00
Space group P2_1/m (No. 11)
One atom of each set of equivalent atoms:
Cs 0.228 0.250 0.427 (multiplicity 2)
Pt 0.394 0.250 0.984 (multiplicity 2)
Pb 0.062 0.250 0.895 (multiplicity 2)
Pb 0.288 0.750 0.780 (multiplicity 2)
Pb 0.360 0.750 0.152 (multiplicity 2)

No. 3
A plane-wave DFT calculation with GGA-PBE was carried out for Cs2Pt2Pb after structural relaxation.

Computed properties:
- formation energy from the elements (eV per atom) = -0.153
- N(E_F) (states/eV per cell) = 6.93
- relative energy among the computed polymorphs (meV per atom) = 0
- theoretical density (g/cm³) = 8.610

abc: 11.074 8.279 7.304
angles: 90.00 96.05 90.00
Space group C2/c (No. 15)
One atom of each set of equivalent atoms:
Cs 0.144 0.110 0.091 (multiplicity 8)
Pt 0.147 0.326 0.511 (multiplicity 8)
Pb 0.000 0.483 0.750 (multiplicity 4)